This record from Alexandria describes a relaxed CsTmPuI6 crystal. The functional is PBE. Values from VASP.

Quantum ESPRESSO input file:
```
&SYSTEM
  ibrav = 0, nat = 9, ntyp = 4
/
ATOMIC_SPECIES
I 126.90 I.upf
Pu 244.00 Pu.upf
Cs 132.91 Cs.upf
Tm 168.93 Tm.upf
CELL_PARAMETERS angstrom
8.004 0.000 0.000
4.002 6.932 0.000
0.000 0.000 8.726
ATOMIC_POSITIONS crystal
I 0.018 0.625 0.705
I 0.625 0.358 0.705
Pu 0.667 0.667 0.500
Cs 0.000 0.000 0.000
Tm 0.333 0.333 0.500
I 0.625 0.018 0.295
I 0.358 0.625 0.295
I 0.018 0.358 0.295
I 0.358 0.018 0.705
```

Output
**Electronic total energy**: -40.7 eV/cell
**ΔE_f (raw)**: -1132 kJ/mol of formula units

This record from Alexandria describes a relaxed Ti2InGa crystal. The functional is PBE. Values from VASP.

Quantum ESPRESSO input file:
```
&SYSTEM
  ibrav = 0, nat = 4, ntyp = 3
/
ATOMIC_SPECIES
Ga 69.72 Ga.upf
Ti 47.87 Ti.upf
In 114.82 In.upf
CELL_PARAMETERS angstrom
-1.864 2.321 -0.641
-2.636 -0.516 -1.436
-5.694 -0.528 7.409
ATOMIC_POSITIONS crystal
Ga 0.667 0.667 0.000
Ti 0.255 0.255 0.235
In 0.500 0.500 0.501
Ti 0.078 0.078 0.765
```

Output
**Formation enthalpy at 0 K**: -129 meV per atom
**Electronic total energy**: -22.1 eV/cell
**ΔE to the lowest computed polymorph**: 0.189 eV/atom

This record from Alexandria describes a relaxed Tb6InPb crystal. The functional is PBE. Values from VASP.

Quantum ESPRESSO input file:
```
&SYSTEM
  ibrav = 0, nat = 8, ntyp = 3
/
ATOMIC_SPECIES
Tb 158.93 Tb.upf
Pb 207.20 Pb.upf
In 114.82 In.upf
CELL_PARAMETERS angstrom
4.865 0.000 0.000
0.000 4.865 0.000
0.000 0.000 9.722
ATOMIC_POSITIONS crystal
Tb 0.500 0.500 0.000
Tb 0.500 0.500 0.500
Tb 0.000 0.500 0.252
Pb 0.000 0.000 0.000
Tb 0.000 0.500 0.748
Tb 0.500 0.000 0.748
Tb 0.500 0.000 0.252
In 0.000 0.000 0.500
```

Output
**Formation enthalpy at 0 K**: -288 meV per atom
**Electronic total energy**: -36.5 eV/cell